# 1
Entry from the Alexandria database: a relaxed structure of Sc5H2Pb5 (PBE-GGA).

Calculated values
V: 253.1 Å³ per cell
total energy: -5.106 eV per atom

abc: 4.1148 5.8917 11.1437
angles: 90.98 90.00 110.44
Closest atoms and distances in Å follow each position.
Fractional coordinates of all 12 atoms:
Sc (0.0696, 0.1391, 0.3056)  1 H 2.07
Sc (0.6376, 0.2752, 0.8135)  2 H 2.22
Sc (0.3624, 0.7248, 0.1865)  2 H 2.22
Sc (0.9304, 0.8609, 0.6944)  1 H 2.07
Sc (0.0000, 0.0000, 0.0000)  2 H 2.06
H (0.0640, 0.1279, 0.8275)  4 Sc 2.06-2.22
H (0.9360, 0.8721, 0.1725)  4 Sc 2.06-2.22
Pb (0.5000, 0.0000, 0.5000)  4 Sc 3.09, 6 Pb 3.39-3.43
Pb (0.6613, 0.3227, 0.1084)  7 Sc 2.96-3.29, 3 H 3.10-3.32, 1 Pb 3.30
Pb (0.7803, 0.5607, 0.3819)  1 H 2.92, 4 Sc 3.14-3.21
Pb (0.2197, 0.4393, 0.6181)  1 H 2.92, 4 Sc 3.14-3.21
Pb (0.3387, 0.6773, 0.8916)  7 Sc 2.96-3.29, 3 H 3.10-3.32, 1 Pb 3.30

---

# 2
Entry from the Alexandria database: a relaxed structure of Sc3H2Pb (PBE-GGA).

Calculated values
V: 209.3 Å³ per cell
total energy: -5.290 eV per atom

abc: 3.3664 5.9168 11.2839
angles: 109.40 98.58 90.00
Closest atoms and distances in Å follow each position.
Fractional coordinates of all 12 atoms:
Sc (0.2364, 0.2613, 0.4727)  3 H 2.01-2.05
Sc (0.0296, 0.7934, 0.0592)  2 H 2.04-2.08
Sc (0.3936, 0.6794, 0.7872)  3 H 2.04-2.14
Sc (0.7636, 0.7387, 0.5273)  3 H 2.01-2.05
Sc (0.6064, 0.3206, 0.2128)  3 H 2.04-2.14
Sc (0.9704, 0.2066, 0.9408)  2 H 2.04-2.08
H (0.2929, 0.6070, 0.5858)  4 Sc 2.01-2.14
H (0.7071, 0.3930, 0.4142)  4 Sc 2.01-2.14
H (0.9422, 0.8334, 0.8844)  4 Sc 2.04-2.08
H (0.0578, 0.1666, 0.1156)  4 Sc 2.04-2.08
Pb (0.3534, 0.1456, 0.7068)  7 Sc 2.91-3.17, 1 H 3.01
Pb (0.6466, 0.8544, 0.2932)  7 Sc 2.91-3.17, 1 H 3.01

---

# 3
Entry from the Alexandria database: a relaxed structure of Sc2HPb (PBE-GGA).

Calculated values
V: 147.1 Å³ per cell
distance to the lowest polymorph of the same formula: 0.000 eV/atom

abc: 4.2793 4.2793 8.0333
angles: 90.02 90.02 90.00
Closest atoms and distances in Å follow each position.
Fractional coordinates of all 8 atoms:
Sc (0.7503, 0.7503, 0.8380)  1 H 2.10
Sc (0.7500, 0.2500, 0.5000)  4 H 2.23
Sc (0.2497, 0.2497, 0.1620)  1 H 2.10
Sc (0.2500, 0.7500, 0.5000)  4 H 2.23
H (0.2499, 0.2499, 0.4235)  5 Sc 2.10-2.23
H (0.7501, 0.7501, 0.5765)  5 Sc 2.10-2.23
Pb (0.2503, 0.2503, 0.7892)  1 H 2.94, 9 Sc 2.99-3.16
Pb (0.7497, 0.7497, 0.2108)  1 H 2.94, 9 Sc 2.99-3.16

---

# 4
Entry from the Alexandria database: a relaxed structure of Sc3H2Pb2 (PBE-GGA).

Calculated values
V: 123.2 Å³ per cell
total energy: -5.230 eV per atom

abc: 3.9050 6.0297 5.9016
angles: 89.70 70.67 71.05
Closest atoms and distances in Å follow each position.
Fractional coordinates of all 7 atoms:
Sc (0.0000, 0.0000, 0.0000)  2 H 2.09
Sc (0.5865, 0.6047, 0.2233)  3 H 2.06-2.15
Sc (0.4135, 0.3953, 0.7767)  3 H 2.06-2.15
H (0.8591, 0.3523, 0.9286)  4 Sc 2.06-2.15
H (0.1409, 0.6477, 0.0714)  4 Sc 2.06-2.15
Pb (0.7845, 0.8022, 0.6300)  6 Sc 2.97-3.21, 2 H 3.13-3.21
Pb (0.2155, 0.1978, 0.3700)  6 Sc 2.97-3.21, 2 H 3.13-3.21

---

# 5
Entry from the Alexandria database: a relaxed structure of ScH2Pb (PBE-GGA).

Calculated values
V: 55.6 Å³ per cell
distance to the lowest polymorph of the same formula: 0.000 eV/atom

abc: 3.3952 3.3952 5.9061
angles: 73.30 73.30 60.00
Closest atoms and distances in Å follow each position.
Fractional coordinates of all 4 atoms:
Pb (0.5000, 0.5000, 0.5000)  8 H 3.06-3.22, 6 Pb 3.40, 6 Sc 3.41
Sc (0.0000, 0.0000, 0.0000)  6 H 2.01
H (0.6926, 0.6926, 0.9221)  3 Sc 2.01, 3 H 2.14
H (0.3074, 0.3074, 0.0779)  3 Sc 2.01, 3 H 2.14

---

# 6
Entry from the Alexandria database: a relaxed structure of ScH2Pb (PBE-GGA).

Calculated values
V: 124.6 Å³ per cell
distance to the lowest polymorph of the same formula: 0.240 eV/atom

abc: 4.8260 4.8260 6.3462
angles: 67.65 67.65 90.00
Closest atoms and distances in Å follow each position.
Fractional coordinates of all 8 atoms:
Pb (0.0000, 0.0000, 0.0000)  4 H 2.65
Pb (0.7500, 0.2500, 0.5000)  4 H 2.65
Sc (0.5000, 0.5000, 0.0000)  4 H 1.86
Sc (0.2500, 0.7500, 0.5000)  4 H 1.86
H (0.4734, 0.1250, 0.2500)  2 Sc 1.86
H (0.2766, 0.6250, 0.2500)  2 Sc 1.86
H (0.3750, 0.5266, 0.7500)  2 Sc 1.86
H (0.8750, 0.7234, 0.7500)  2 Sc 1.86

---

# 7
Entry from the Alexandria database: a relaxed structure of ScHPb3 (PBE-GGA).

Calculated values
V: 180.6 Å³ per cell
distance to the lowest polymorph of the same formula: 0.679 eV/atom

abc: 5.6527 5.6527 5.6527
angles: 90.00 90.00 90.00
Closest atoms and distances in Å follow each position.
Fractional coordinates of all 5 atoms:
Pb (0.0000, 0.5000, 0.0000)  2 Sc 2.83
Pb (0.0000, 0.0000, 0.5000)  2 Sc 2.83
Pb (0.5000, 0.0000, 0.0000)  2 Sc 2.83
Sc (0.0000, 0.0000, 0.0000)  6 Pb 2.83
H (0.5000, 0.5000, 0.5000)  12 Pb 4.00

---

# 8
Entry from the Alexandria database: a relaxed structure of ScHPb (PBE-GGA).

Calculated values
V: 105.7 Å³ per cell
distance to the lowest polymorph of the same formula: 0.087 eV/atom

abc: 6.0424 6.0425 5.4883
angles: 82.19 97.81 147.80
Closest atoms and distances in Å follow each position.
Fractional coordinates of all 6 atoms:
Pb (0.8906, 0.1104, 0.6428)  4 H 2.97-3.12, 1 Pb 3.18, 4 Sc 3.19-3.27
Pb (0.1094, 0.8896, 0.3572)  4 H 2.97-3.12, 1 Pb 3.18, 4 Sc 3.19-3.27
Sc (0.6352, 0.3646, 0.8730)  3 H 1.97-1.98
Sc (0.3648, 0.6354, 0.1270)  3 H 1.97-1.98
H (0.2247, 0.7752, 0.8757)  3 Sc 1.97-1.98, 2 H 2.19
H (0.7753, 0.2248, 0.1243)  3 Sc 1.97-1.98, 2 H 2.19

---

# 9
Entry from the Alexandria database: a relaxed structure of ScHPb (PBE-GGA).

Calculated values
V: 51.5 Å³ per cell
distance to the lowest polymorph of the same formula: 0.000 eV/atom

abc: 4.9976 3.4500 3.4500
angles: 120.00 90.00 90.00
Closest atoms and distances in Å follow each position.
Fractional coordinates of all 3 atoms:
Pb (0.6667, 0.3333, 0.6667)  6 H 3.20, 6 Sc 3.20, 6 Pb 3.45
Sc (0.1667, 0.6667, 0.3333)  3 H 1.99
H (0.1666, 0.0000, 0.0000)  3 Sc 1.99

---

# 10
Entry from the Alexandria database: a relaxed structure of Sc2HPb (PBE-GGA).

Calculated values
V: 82.3 Å³ per cell
distance to the lowest polymorph of the same formula: 0.387 eV/atom

abc: 8.6666 8.6666 8.6666
angles: 22.32 22.32 22.32
Closest atoms and distances in Å follow each position.
Fractional coordinates of all 4 atoms:
Pb (0.0000, 0.0000, 0.0000)  2 Sc 3.03, 6 Pb 3.35
Sc (0.8803, 0.8803, 0.8803)  3 H 2.27
Sc (0.1197, 0.1197, 0.1197)  3 H 2.27
H (0.5000, 0.5000, 0.5000)  6 Sc 2.27

---

# 11
Entry from the Alexandria database: a relaxed structure of ScHPb3 (PBE-GGA).

Calculated values
V: 115.3 Å³ per cell
distance to the lowest polymorph of the same formula: 0.000 eV/atom

abc: 4.8672 4.8672 4.8672
angles: 90.00 90.00 90.00
Closest atoms and distances in Å follow each position.
Fractional coordinates of all 5 atoms:
Pb (0.0000, 0.5000, 0.0000)  2 H 2.43
Pb (0.0000, 0.0000, 0.5000)  2 H 2.43
Pb (0.5000, 0.0000, 0.0000)  2 H 2.43
Sc (0.5000, 0.5000, 0.5000)  12 Pb 3.44
H (0.0000, 0.0000, 0.0000)  6 Pb 2.43

---

# 12
Entry from the Alexandria database: a relaxed structure of ScHPb (PBE-GGA).

Calculated values
V: 212.8 Å³ per cell
distance to the lowest polymorph of the same formula: 0.082 eV/atom

abc: 10.0281 3.4600 6.1334
angles: 90.00 90.00 90.00
Closest atoms and distances in Å follow each position.
Fractional coordinates of all 12 atoms:
Pb (0.2670, 0.2500, 0.4341)  4 H 2.87-3.06, 1 Sc 3.10
Pb (0.2330, 0.7500, 0.9341)  4 H 2.87-3.06, 1 Sc 3.10
Pb (0.7330, 0.7500, 0.5659)  4 H 2.87-3.06, 1 Sc 3.10
Pb (0.7670, 0.2500, 0.0659)  4 H 2.87-3.06, 1 Sc 3.10
Sc (0.9940, 0.2500, 0.7236)  3 H 1.96
Sc (0.5060, 0.7500, 0.2236)  3 H 1.96
Sc (0.0060, 0.7500, 0.2764)  3 H 1.96
Sc (0.4940, 0.2500, 0.7764)  3 H 1.96
H (0.9624, 0.2500, 0.4085)  3 Sc 1.96
H (0.5376, 0.7500, 0.9085)  3 Sc 1.96
H (0.0376, 0.7500, 0.5915)  3 Sc 1.96
H (0.4624, 0.2500, 0.0915)  3 Sc 1.96

---

Question: The lowest V belongs to which entry?
Answer: number 9

---

Please write out number 8 again, unchanged.
Entry from the Alexandria database: a relaxed structure of ScHPb (PBE-GGA).

Calculated values
V: 105.7 Å³ per cell
distance to the lowest polymorph of the same formula: 0.087 eV/atom

abc: 6.0424 6.0425 5.4883
angles: 82.19 97.81 147.80
Closest atoms and distances in Å follow each position.
Fractional coordinates of all 6 atoms:
Pb (0.8906, 0.1104, 0.6428)  4 H 2.97-3.12, 1 Pb 3.18, 4 Sc 3.19-3.27
Pb (0.1094, 0.8896, 0.3572)  4 H 2.97-3.12, 1 Pb 3.18, 4 Sc 3.19-3.27
Sc (0.6352, 0.3646, 0.8730)  3 H 1.97-1.98
Sc (0.3648, 0.6354, 0.1270)  3 H 1.97-1.98
H (0.2247, 0.7752, 0.8757)  3 Sc 1.97-1.98, 2 H 2.19
H (0.7753, 0.2248, 0.1243)  3 Sc 1.97-1.98, 2 H 2.19

---

Question: Which formula does entry 6 have?
Answer: ScH2Pb